# 1
Below is an optimized crystal structure of K2BaTlF, with properties calculated at the PBE level.

Space group ... P4/mmm (123)
Spin magnetization ... 0.614 μB per formula unit
D(E_F) ... 0.94 states/eV per atom
V ... 34.74 Å³/atom
Formation energy without anion corrections ... -1.1317 eV per atom

Cell lengths 5.5370, 5.5370, 5.6651 Å; angles 90.00, 90.00, 90.00 degrees
Last column: nearest neighbours and their distance in Å.
Atoms (fractional coordinates):
Ba 0.0000 0.0000 0.5000  2 F 2.83
K 0.0000 0.5000 0.0000  2 F 2.77
K 0.5000 0.0000 0.0000  2 F 2.77
F 0.0000 0.0000 0.0000  4 K 2.77, 2 Ba 2.83
Tl 0.5000 0.5000 0.5000  4 Ba 3.92, 8 K 3.96

# 2
Below is an optimized crystal structure of KNaSrBi, with properties calculated at the PBE level.

Space group ... F-43m (216)
Spin magnetization ... 0.000 μB per formula unit
DFT formation energy ... -0.37 eV per atom
D(E_F) ... 0.40 states/eV per atom
V ... 37.31 Å³/atom

Cell lengths 5.9539, 5.9539, 5.9539 Å; angles 60.00, 60.00, 60.00 degrees
Last column: nearest neighbours and their distance in Å.
Atoms (fractional coordinates):
Bi 0.5000 0.5000 0.5000  4 K 3.65, 4 Sr 3.65
Sr 0.7500 0.7500 0.7500  4 Na 3.65, 4 Bi 3.65
K 0.2500 0.2500 0.2500  4 Na 3.65, 4 Bi 3.65
Na 0.0000 0.0000 0.0000  4 Sr 3.65, 4 K 3.65

# 3
Below is an optimized crystal structure of K2CoNi, with properties calculated at the PBE level.

Space group ... Cmmm (65)
Spin magnetization ... 1.949 μB per formula unit
DFT formation energy ... 1.16 eV per atom
D(E_F) ... 1.31 states/eV per atom
V ... 22.66 Å³/atom
Energy above the most stable polymorph in this dataset ... 0.625 eV/atom

Cell lengths 5.9139, 5.9139, 3.0237 Å; angles 90.00, 90.00, 120.99 degrees
Last column: nearest neighbours and their distance in Å.
Atoms (fractional coordinates):
Ni 0.5000 0.0000 0.5000  2 Co 2.91, 2 Ni 3.02
K 0.5000 0.5000 0.0000  4 K 2.91-3.02
K 0.0000 0.0000 0.0000  4 K 2.91-3.02
Co 0.0000 0.5000 0.5000  2 Ni 2.91, 2 Co 3.02

# 4
Below is an optimized crystal structure of Ac2GdTm, with properties calculated at the PBE level.

Space group ... R-3m (166)
Spin magnetization ... 7.389 μB per formula unit
DFT formation energy ... 0.26 eV per atom
D(E_F) ... 1.80 states/eV per atom
V ... 38.72 Å³/atom
Energy above the most stable polymorph in this dataset ... 0.214 eV/atom

Cell lengths 3.7004, 3.7004, 13.2352 Å; angles 81.96, 81.96, 60.00 degrees
Last column: nearest neighbours and their distance in Å.
Atoms (fractional coordinates):
Gd 0.5000 0.5000 0.5000  6 Gd 3.70, 6 Ac 3.75
Tm 0.0000 0.0000 0.0000  2 Ac 3.45, 6 Tm 3.70
Ac 0.0880 0.0880 0.7359  1 Tm 3.45, 6 Ac 3.70, 3 Gd 3.75
Ac 0.9120 0.9120 0.2641  1 Tm 3.45, 6 Ac 3.70, 3 Gd 3.75

# 5
Below is an optimized crystal structure of CsLiOs, with properties calculated at the PBE level.

Space group ... P1 (1)
Spin magnetization ... 0.000 μB per formula unit
DFT formation energy ... 0.49 eV per atom
D(E_F) ... 0.62 states/eV per atom
V ... 34.94 Å³/atom
Energy above the most stable polymorph in this dataset ... 0.148 eV/atom

Cell lengths 4.2022, 4.2028, 13.7053 Å; angles 89.83, 89.98, 60.01 degrees
Last column: nearest neighbours and their distance in Å.
Atoms (fractional coordinates):
Os 0.8070 0.5699 0.2771  3 Os 2.45
Os 0.4736 0.2368 0.2519  3 Os 2.45, 3 Li 2.60-2.61
Li 0.1401 0.9043 0.1826  6 Os 2.60-2.75
Li 0.4626 0.2382 0.7468  6 Li 4.20, 6 Cs 4.29-4.47
Cs 0.1411 0.9006 0.4753  6 Os 3.64-3.91, 1 Li 4.01
Cs 0.8047 0.5736 0.0065  3 Li 3.42, 1 Os 3.71

# 6
Below is an optimized crystal structure of Cs2RbNa4, with properties calculated at the PBE level.

Space group ... C2/c (15)
Spin magnetization ... 0.000 μB per formula unit
DFT formation energy ... 0.04 eV per atom
D(E_F) ... 0.67 states/eV per atom
V ... 62.45 Å³/atom
Energy above the most stable polymorph in this dataset ... 0.000 eV/atom

Cell lengths 7.7366, 10.6403, 11.8785 Å; angles 116.61, 90.17, 90.00 degrees
Last column: nearest neighbours and their distance in Å.
Atoms (fractional coordinates):
Cs 0.7492 0.5712 0.4293  8 Na 4.51-5.03, 1 Rb 4.57, 4 Cs 4.72-4.93
Cs 0.2492 0.8581 0.4293  8 Na 4.51-5.03, 1 Rb 4.57, 4 Cs 4.72-4.93
Cs 0.2508 0.4288 0.5707  8 Na 4.51-5.03, 1 Rb 4.57, 4 Cs 4.72-4.93
Cs 0.7508 0.1419 0.5707  8 Na 4.51-5.03, 1 Rb 4.57, 4 Cs 4.72-4.93
Na 0.9894 0.0908 0.1819  5 Na 3.65-3.87
Na 0.0106 0.9092 0.8181  5 Na 3.65-3.87
Na 0.4894 0.0911 0.1819  5 Na 3.65-3.87
Na 0.2538 0.2074 0.8259  3 Na 3.65-3.71
Na 0.2462 0.3815 0.1741  3 Na 3.65-3.71
Na 0.5106 0.9089 0.8181  5 Na 3.65-3.87
Na 0.7538 0.6185 0.8259  3 Na 3.65-3.71
Na 0.7462 0.7926 0.1741  3 Na 3.65-3.71
Rb 0.7500 0.3339 0.0000  10 Na 4.28-4.52, 2 Cs 4.57
Rb 0.2500 0.6661 0.0000  10 Na 4.28-4.52, 2 Cs 4.57

# 7
Below is an optimized crystal structure of YCr2FeAu, with properties calculated at the PBE level.

Space group ... P4/mmm (123)
Spin magnetization ... 9.835 μB per formula unit
DFT formation energy ... 1.86 eV per atom
D(E_F) ... 1.06 states/eV per atom
V ... 22.30 Å³/atom

Cell lengths 4.9249, 4.5968, 4.9249 Å; angles 90.00, 90.00, 90.00 degrees
Last column: nearest neighbours and their distance in Å.
Atoms (fractional coordinates):
Fe 0.0000 0.5000 0.0000  2 Y 2.30
Cr 0.5000 0.0000 0.0000  2 Y 2.46
Cr 0.0000 0.0000 0.5000  2 Y 2.46
Au 0.5000 0.5000 0.5000  8 Cr 3.37, 4 Fe 3.48
Y 0.0000 0.0000 0.0000  2 Fe 2.30, 4 Cr 2.46

# 8
Below is an optimized crystal structure of MgAlPb2, with properties calculated at the PBE level.

Space group ... Pm (6)
Spin magnetization ... 0.000 μB per formula unit
DFT formation energy ... 0.12 eV per atom
D(E_F) ... 0.52 states/eV per atom
V ... 25.98 Å³/atom
Energy above the most stable polymorph in this dataset ... 0.036 eV/atom

Cell lengths 4.8882, 3.5855, 6.2135 Å; angles 72.59, 90.00, 90.00 degrees
Last column: nearest neighbours and their distance in Å.
Atoms (fractional coordinates):
Pb 0.5000 0.2864 0.3106  4 Al 3.18-3.19, 3 Mg 3.20-3.27
Pb 0.0000 0.9617 0.9428  3 Al 3.16-3.30, 4 Mg 3.19-3.20
Al 0.0000 0.7050 0.4750  2 Mg 3.01, 7 Pb 3.16-3.30
Mg 0.5000 0.5470 0.7715  2 Al 3.01, 7 Pb 3.19-3.27

# 9
Below is an optimized crystal structure of Y5Mo, with properties calculated at the PBE level.

Space group ... P-62m (189)
Spin magnetization ... 0.189 μB per formula unit
DFT formation energy ... 0.25 eV per atom
D(E_F) ... 1.74 states/eV per atom
V ... 28.06 Å³/atom
Energy above the most stable polymorph in this dataset ... 0.065 eV/atom

Cell lengths 6.0417, 6.0417, 5.3254 Å; angles 90.00, 90.00, 120.00 degrees
Last column: nearest neighbours and their distance in Å.
Atoms (fractional coordinates):
Y 0.3069 0.0000 0.5000  6 Y 3.21-3.39, 2 Mo 3.24
Y 0.3333 0.6667 0.0000  9 Y 3.39-3.49, 3 Mo 3.49
Y 0.6667 0.3333 0.0000  9 Y 3.39-3.49, 3 Mo 3.49
Y 0.6931 0.6931 0.5000  6 Y 3.21-3.39, 2 Mo 3.24
Y 0.0000 0.3069 0.5000  6 Y 3.21-3.39, 2 Mo 3.24
Mo 0.0000 0.0000 0.0000  12 Y 3.24-3.49

# 10
Below is an optimized crystal structure of Tb3Nd4Sc2, with properties calculated at the PBE level.

Space group ... C2/m (12)
Spin magnetization ... 0.001 μB per formula unit
DFT formation energy ... 0.09 eV per atom
D(E_F) ... 1.61 states/eV per atom
V ... 32.35 Å³/atom
Energy above the most stable polymorph in this dataset ... 0.000 eV/atom

Cell lengths 3.6098, 6.6121, 14.2887 Å; angles 63.68, 90.00, 105.84 degrees
Last column: nearest neighbours and their distance in Å.
Atoms (fractional coordinates):
Nd 0.3470 0.6940 0.8717  4 Tb 3.54-3.92, 3 Sc 3.56-3.61, 4 Nd 3.61-3.80
Nd 0.1064 0.2127 0.6150  5 Tb 3.42-3.65, 2 Sc 3.43, 2 Nd 3.61
Nd 0.6530 0.3060 0.1283  4 Tb 3.54-3.92, 3 Sc 3.56-3.61, 4 Nd 3.61-3.80
Nd 0.8936 0.7873 0.3850  5 Tb 3.42-3.65, 2 Sc 3.43, 2 Nd 3.61
Tb 0.3764 0.7528 0.6133  2 Sc 3.30, 3 Tb 3.31-3.61, 6 Nd 3.42-3.65
Tb 0.0000 0.0000 0.0000  4 Sc 3.26, 2 Tb 3.61
Tb 0.6236 0.2472 0.3867  2 Sc 3.30, 3 Tb 3.31-3.61, 6 Nd 3.42-3.65
Sc 0.3394 0.6787 0.2078  4 Tb 3.26-3.30, 5 Nd 3.43-3.61, 2 Sc 3.61
Sc 0.6606 0.3213 0.7922  4 Tb 3.26-3.30, 5 Nd 3.43-3.61, 2 Sc 3.61

# 11
Below is an optimized crystal structure of BaFeI3, with properties calculated at the PBE level.

Space group ... Pm-3m (221)
Spin magnetization ... 4.986 μB per formula unit
D(E_F) ... 8.70 states/eV per atom
V ... 61.15 Å³/atom
Energy above the most stable polymorph in this dataset ... 0.581 eV/atom
Formation energy without anion corrections ... -0.0809 eV per atom

Cell lengths 6.7370, 6.7370, 6.7370 Å; angles 90.00, 90.00, 90.00 degrees
Last column: nearest neighbours and their distance in Å.
Atoms (fractional coordinates):
Ba 0.0000 0.0000 0.0000  6 I 3.37
I 0.0000 0.0000 0.5000  2 Ba 3.37
I 0.5000 0.0000 0.0000  2 Ba 3.37
I 0.0000 0.5000 0.0000  2 Ba 3.37
Fe 0.5000 0.5000 0.5000  12 I 4.76

# 12
Below is an optimized crystal structure of Al2PtBr, with properties calculated at the PBE level.

Space group ... R-3m (166)
Spin magnetization ... 0.000 μB per formula unit
D(E_F) ... 0.22 states/eV per atom
V ... 19.97 Å³/atom
Energy above the most stable polymorph in this dataset ... 0.075 eV/atom
Formation energy without anion corrections ... -0.5473 eV per atom

Cell lengths 7.5298, 7.5298, 7.5298 Å; angles 27.42, 27.42, 27.42 degrees
Last column: nearest neighbours and their distance in Å.
Atoms (fractional coordinates):
Br 0.2500 0.2500 0.2500  6 Al 3.00
Al 0.0170 0.0170 0.0170  3 Pt 2.51
Al 0.4830 0.4830 0.4830  3 Pt 2.51
Pt 0.7500 0.7500 0.7500  6 Al 2.51